# GGA-PBE Cs2IrPbO6, relaxed
data_Cs2IrPbO6
_chemical_formula_sum 'Cs8 Ir4 Pb4 O24'
_space_group_name_H-M_alt 'F m -3 m'
_space_group_IT_number 225
_space_group_name_Hall '-F 4 2 3'
_cell_length_a 8.9184
_cell_length_b 8.9184
_cell_length_c 8.9184
_cell_angle_alpha 90.00
_cell_angle_beta 90.00
_cell_angle_gamma 90.00
loop_
_atom_site_label
_atom_site_fract_x
_atom_site_fract_y
_atom_site_fract_z
Cs1 0.2500 0.2500 0.2500
Ir1 0.0000 0.0000 0.0000
Pb1 0.0000 0.0000 0.5000
O1 0.0000 0.0000 0.2136
# calculated volume	17.73	Å³ per atom
# magnetization	1.651	Bohr magnetons per cell
# formation energy from raw total energies	-92	kJ per mole of atoms